No. 1
VASP calculation (GGA-PBE) on a relaxed MgTl2NiPb crystal.

Values from the calculation:
* M_tot: 0.0 μB/f.u.
* DFT formation energy: 129 meV per atom
* VASP energy: -3.03 eV per atom

a = 5.0876 Å, b = 5.0876 Å, c = 5.0074 Å
α = 90.00°, β = 90.00°, γ = 90.00°
Last column: nearest neighbours and their distance in Å.
Space group P4/mmm (No. 123)
Symmetry-distinct sites (fractional):
1 Mg 0.0000 0.0000 0.0000  2 Ni 2.50
2 Tl 0.0000 0.5000 0.5000  2 Ni 2.54
3 Ni 0.0000 0.0000 0.5000  2 Mg 2.50, 4 Tl 2.54
4 Pb 0.5000 0.5000 0.0000  8 Tl 3.57, 4 Mg 3.60


No. 2
VASP calculation (GGA-PBE) on a relaxed TmMgNiPb crystal.

Values from the calculation:
* M_tot: 0.0 μB/f.u.
* DFT formation energy: -154 meV per atom
* VASP energy: -4.04 eV per atom

a = 6.9594 Å, b = 6.9594 Å, c = 6.9594 Å
α = 90.00°, β = 90.00°, γ = 90.00°
Last column: nearest neighbours and their distance in Å.
Space group F-43m (No. 216)
Symmetry-distinct sites (fractional):
1 Tm 0.0000 0.0000 0.0000  4 Pb 3.01, 4 Ni 3.01
2 Mg 0.0000 0.0000 0.5000  4 Ni 3.01, 4 Pb 3.01
3 Ni 0.2500 0.2500 0.2500  4 Mg 3.01, 4 Tm 3.01
4 Pb 0.2500 0.2500 0.7500  4 Mg 3.01, 4 Tm 3.01


No. 3
VASP calculation (GGA-PBE) on a relaxed Mg2VNiPb crystal.

Values from the calculation:
* M_tot: 2.5 μB/f.u.
* DFT formation energy: 765 meV per atom
* VASP energy: -3.59 eV per atom

a = 5.2542 Å, b = 5.2542 Å, c = 4.3019 Å
α = 90.00°, β = 90.00°, γ = 90.00°
Last column: nearest neighbours and their distance in Å.
Space group P4/mmm (No. 123)
Symmetry-distinct sites (fractional):
1 Mg 0.0000 0.5000 0.0000  2 V 2.63
2 V 0.0000 0.0000 0.0000  2 Ni 2.15
3 Ni 0.0000 0.0000 0.5000  2 V 2.15
4 Pb 0.5000 0.5000 0.5000  8 Mg 3.40, 4 Ni 3.72


No. 4
VASP calculation (GGA-PBE) on a relaxed MgNiPb2W crystal.

Values from the calculation:
* M_tot: 3.5 μB/f.u.
* DFT formation energy: 1069 meV per atom
* VASP energy: -4.48 eV per atom

a = 4.9983 Å, b = 4.9983 Å, c = 4.7627 Å
α = 90.00°, β = 90.00°, γ = 90.00°
Last column: nearest neighbours and their distance in Å.
Space group P4/mmm (No. 123)
Symmetry-distinct sites (fractional):
1 Mg 0.0000 0.0000 0.0000  2 Ni 2.38
2 Ni 0.0000 0.0000 0.5000  2 Mg 2.38, 4 Pb 2.50
3 Pb 0.0000 0.5000 0.5000  2 Ni 2.50
4 W 0.5000 0.5000 0.0000  8 Pb 3.45, 4 Mg 3.53


No. 5
VASP calculation (GGA-PBE) on a relaxed YMg2NiPb crystal.

Values from the calculation:
* M_tot: 0.0 μB/f.u.
* DFT formation energy: -165 meV per atom
* VASP energy: -3.99 eV per atom

a = 4.8919 Å, b = 4.8919 Å, c = 5.0815 Å
α = 90.00°, β = 90.00°, γ = 90.00°
Last column: nearest neighbours and their distance in Å.
Space group P4/mmm (No. 123)
Symmetry-distinct sites (fractional):
1 Y 0.0000 0.0000 0.0000  2 Ni 2.54
2 Mg 0.0000 0.5000 0.5000  2 Ni 2.45
3 Ni 0.0000 0.0000 0.5000  4 Mg 2.45, 2 Y 2.54
4 Pb 0.5000 0.5000 0.0000  4 Y 3.46, 8 Mg 3.53


No. 6
VASP calculation (GGA-PBE) on a relaxed Y2MgNiPb crystal.

Values from the calculation:
* M_tot: 0.0 μB/f.u.
* DFT formation energy: -255 meV per atom
* VASP energy: -5.06 eV per atom

a = 5.1707 Å, b = 5.1707 Å, c = 4.8961 Å
α = 90.00°, β = 90.00°, γ = 90.00°
Last column: nearest neighbours and their distance in Å.
Space group P4/mmm (No. 123)
Symmetry-distinct sites (fractional):
1 Y 0.0000 0.5000 0.0000  2 Ni 2.59
2 Mg 0.0000 0.0000 0.5000  2 Ni 2.45
3 Ni 0.0000 0.0000 0.0000  2 Mg 2.45, 4 Y 2.59
4 Pb 0.5000 0.5000 0.5000  8 Y 3.56, 4 Mg 3.66


No. 7
VASP calculation (GGA-PBE) on a relaxed MgZn2NiPb crystal.

Values from the calculation:
* M_tot: 0.0 μB/f.u.
* DFT formation energy: 998 meV per atom
* VASP energy: -1.73 eV per atom

a = 4.8406 Å, b = 4.8406 Å, c = 5.5051 Å
α = 90.00°, β = 90.00°, γ = 90.00°
Last column: nearest neighbours and their distance in Å.
Space group P4/mmm (No. 123)
Symmetry-distinct sites (fractional):
1 Mg 0.0000 0.0000 0.0000  4 Zn 2.42
2 Zn 0.0000 0.5000 0.0000  2 Mg 2.42
3 Ni 0.5000 0.5000 0.5000  4 Pb 3.42, 8 Zn 3.67
4 Pb 0.0000 0.0000 0.5000  2 Mg 2.75


No. 8
VASP calculation (GGA-PBE) on a relaxed Mg6NiPd5 crystal.

Values from the calculation:
* M_tot: 0.0 μB/f.u.
* DFT formation energy: -634 meV per atom
* VASP energy: -4.08 eV per atom

a = 4.4035 Å, b = 6.5599 Å, c = 6.9343 Å
α = 90.00°, β = 108.13°, γ = 90.00°
Last column: nearest neighbours and their distance in Å.
Space group P2/m (No. 10)
Symmetry-distinct sites (fractional):
1 Mg 0.0000 0.2460 0.0000  6 Pd 2.71-2.76, 2 Ni 2.73
2 Mg 0.3351 0.2471 0.6697  1 Ni 2.71, 7 Pd 2.73-2.76
3 Ni 0.5000 0.0000 0.0000  8 Mg 2.71-2.73
4 Pd 0.1649 0.0000 0.3301  8 Mg 2.71-2.76
5 Pd 0.1667 0.5000 0.3342  8 Mg 2.76
6 Pd 0.5000 0.5000 0.0000  8 Mg 2.74-2.76


No. 9
VASP calculation (GGA-PBE) on a relaxed Mg3Ni2Pd crystal.

Values from the calculation:
* M_tot: 0.0 μB/f.u.
* DFT formation energy: -333 meV per atom
* VASP energy: -3.92 eV per atom

a = 3.0116 Å, b = 3.0116 Å, c = 9.8010 Å
α = 90.00°, β = 90.00°, γ = 90.00°
Last column: nearest neighbours and their distance in Å.
Space group P4/mmm (No. 123)
Symmetry-distinct sites (fractional):
1 Mg 0.0000 0.0000 0.0000  8 Ni 2.65
2 Mg 0.0000 0.0000 0.3232  4 Ni 2.66, 4 Pd 2.75
3 Ni 0.5000 0.5000 0.1604  8 Mg 2.65-2.66
4 Pd 0.5000 0.5000 0.5000  8 Mg 2.75, 4 Pd 3.01


No. 10
VASP calculation (GGA-PBE) on a relaxed Mg5Ni3Pd12 crystal.

Values from the calculation:
* M_tot: 2.7 μB/f.u.
* DFT formation energy: 243 meV per atom
* VASP energy: -4.14 eV per atom

a = 14.6272 Å, b = 14.6272 Å, c = 14.6272 Å
α = 90.00°, β = 90.00°, γ = 90.00°
Last column: nearest neighbours and their distance in Å.
Space group Ia-3d (No. 230)
Symmetry-distinct sites (fractional):
1 Mg 0.0000 0.0000 0.0000  6 Pd 2.51
2 Mg 0.0000 0.2500 0.3750  4 Pd 2.53
3 Ni 0.0000 0.2500 0.1250  4 Pd 2.47
4 Pd 0.0121 0.0835 0.6494  1 Ni 2.47, 2 Mg 2.51-2.53, 1 Pd 2.63


No. 11
VASP calculation (GGA-PBE) on a relaxed Mg2NiPd6 crystal.

Values from the calculation:
* M_tot: 1.2 μB/f.u.
* DFT formation energy: -231 meV per atom
* VASP energy: -4.69 eV per atom

a = 14.0774 Å, b = 7.3669 Å, c = 2.8128 Å
α = 90.00°, β = 101.35°, γ = 90.00°
Last column: nearest neighbours and their distance in Å.
Space group C2/m (No. 12)
Symmetry-distinct sites (fractional):
1 Mg 0.1655 0.0000 0.1611  8 Pd 2.68-2.72, 2 Mg 2.81
2 Ni 0.0000 0.5000 0.5000  8 Pd 2.63-2.68, 2 Ni 2.81
3 Pd 0.0000 0.1988 0.0000  2 Ni 2.63, 2 Mg 2.71, 7 Pd 2.80-2.93
4 Pd 0.1655 0.3103 0.6638  1 Ni 2.68, 3 Mg 2.68-2.72, 7 Pd 2.80-2.87


No. 12
VASP calculation (GGA-PBE) on a relaxed Mg6NiPd12 crystal.

Values from the calculation:
* M_tot: 0.0 μB/f.u.
* DFT formation energy: -477 meV per atom
* VASP energy: -4.56 eV per atom

a = 12.1935 Å, b = 12.1935 Å, c = 6.9462 Å
α = 90.00°, β = 90.00°, γ = 120.00°
Last column: nearest neighbours and their distance in Å.
Space group R-3 (No. 148, hexagonal axes)
Symmetry-distinct sites (fractional):
1 Mg 0.0267 0.2679 0.3402  9 Pd 2.69-2.90, 3 Mg 2.89-2.96
2 Ni 0.0000 0.0000 0.0000  12 Pd 2.80-2.81
3 Pd 0.0127 0.1394 0.6711  4 Mg 2.69-2.90, 7 Pd 2.75-2.88, 1 Ni 2.81
4 Pd 0.0707 0.5647 0.6680  6 Pd 2.75-2.86, 5 Mg 2.76-2.88, 1 Ni 2.80